Arrangement a

# NaMg3Te

NaMg3Te after structural relaxation (PBE, the Alexandria database).

Lattice parameters (Å, degrees): 5.702 5.702 5.702 90.00 90.00 90.00
Fractional positions:
Mg 0.500 0.000 0.000
Mg 0.000 0.500 0.000
Mg 0.000 0.000 0.500
Na 0.500 0.500 0.500
Te 0.000 0.000 0.000

## Properties
symmetry: Pm-3m, No. 221
magnetic moment: 0.00 μB/f.u.



Arrangement b

# NaMg3Te

NaMg3Te after structural relaxation (PBE, the Alexandria database).

Lattice parameters (Å, degrees): 5.384 5.384 5.384 90.00 90.00 90.00
Fractional positions:
Mg 0.000 0.000 0.500
Mg 0.500 0.000 0.000
Mg 0.000 0.500 0.000
Te 0.500 0.500 0.500
Na 0.000 0.000 0.000

## Properties
symmetry: Pm-3m, No. 221
magnetic moment: 0.00 μB/f.u.



Computed relative energies in units of eV/atom: arrangement a 0.000; arrangement b 0.279